1.
The following is a GGA-PBE calculation of a relaxed PmNd5Ho2 crystal, from Alexandria via LeMat-Bulk.

- Symmetry: No. 2
- Offset from the most stable computed form: 1.5 kJ/mol of atoms
- Formation enthalpy at 0 K: 2.8 kJ per mole of atoms
- Crystal system: triclinic

a b c (Å): 6.921 14.023 9.742
angles (deg): 72.71 113.65 140.49
Sites, in units of the cell vectors:
Pm 0.848 0.603 0.770
Pm 0.152 0.397 0.230
Nd 0.099 0.852 0.022
Nd 0.232 0.981 0.646
Nd 0.391 0.644 0.478
Nd 0.515 0.767 0.103
Nd 0.362 0.106 0.273
Nd 0.638 0.894 0.727
Nd 0.609 0.356 0.522
Nd 0.485 0.233 0.897
Nd 0.901 0.148 0.978
Nd 0.768 0.019 0.354
Ho 0.973 0.727 0.396
Ho 0.728 0.480 0.146
Ho 0.027 0.273 0.604
Ho 0.272 0.520 0.854

2.
The following is a GGA-PBE calculation of a relaxed CeU3Tl3Se8 crystal, from Alexandria via LeMat-Bulk.

- Symmetry: No. 12
- Formation energy from raw total energies: -1.07 eV per atom
- Crystal system: monoclinic

a b c (Å): 8.393 8.404 9.216
angles (deg): 117.15 90.00 119.96
Each line ends with the local moment (μB).
Sites, in units of the cell vectors:
Ce 0.000 0.000 0.500  0.91
U 0.500 0.000 0.500  2.53
U 0.500 0.500 0.500  2.53
U 0.000 0.500 0.500  2.53
Tl 0.000 0.000 0.000  0.00
Tl 0.000 0.500 0.000  0.00
Tl 0.500 0.500 0.000  0.00
Se 0.265 0.530 0.296  -0.06
Se 0.735 0.470 0.704  -0.06
Se 0.761 0.522 0.296  -0.05
Se 0.239 0.478 0.704  -0.05
Se 0.761 0.034 0.295  -0.05
Se 0.239 0.966 0.705  -0.05
Se 0.273 0.034 0.295  -0.05
Se 0.727 0.966 0.705  -0.05

3.
The following is a GGA-PBE calculation of a relaxed CePmNd2Bi4 crystal, from Alexandria via LeMat-Bulk.

- Symmetry: No. 10
- Formation enthalpy at 0 K: -87.8 kJ per mole of atoms
- Crystal system: monoclinic

a b c (Å): 4.596 7.965 7.964
angles (deg): 70.62 90.00 90.00
Each line ends with the local moment (μB).
Sites, in units of the cell vectors:
Ce 0.500 0.500 0.000  0.78
Pm 0.000 0.500 0.500  0.00
Nd 0.000 0.000 0.000  0.00
Nd 0.500 0.000 0.500  0.00
Bi 0.000 0.748 0.751  -0.02
Bi 0.000 0.252 0.249  -0.02
Bi 0.500 0.748 0.250  -0.01
Bi 0.500 0.252 0.750  -0.01

4.
The following is a GGA-PBE calculation of a relaxed La8Co3SiCl4 crystal, from Alexandria via LeMat-Bulk.

- Symmetry: No. 12
- Formation energy from raw total energies: -0.96 eV per atom
- Crystal system: monoclinic

a b c (Å): 8.096 8.822 8.432
angles (deg): 118.01 118.69 90.00
Sites, in units of the cell vectors:
La 0.259 0.709 0.981
La 0.241 0.695 0.482
La 0.254 0.295 0.508
La 0.722 0.709 0.981
La 0.278 0.291 0.019
La 0.746 0.705 0.492
La 0.759 0.305 0.518
La 0.741 0.291 0.019
Co 0.500 0.500 0.000
Co 0.500 0.500 0.500
Co 0.000 0.500 0.500
Si 0.000 0.500 0.000
Cl 0.500 0.000 0.000
Cl 0.500 0.000 0.500
Cl 0.000 0.000 0.000
Cl 0.000 0.000 0.500

5.
The following is a GGA-PBE calculation of a relaxed Sc2PaNi3 crystal, from Alexandria via LeMat-Bulk.

- Symmetry: No. 59
- Formation enthalpy at 0 K: -38.0 kJ per mole of atoms
- Crystal system: orthorhombic

a b c (Å): 3.266 4.621 13.654
angles (deg): 90.00 90.00 90.00
Sites, in units of the cell vectors:
Sc 0.999 0.000 0.674
Sc 0.999 0.000 0.326
Sc 0.001 0.500 0.174
Sc 0.001 0.500 0.826
Pa 0.999 0.500 0.500
Pa 0.001 0.000 0.000
Ni 0.499 0.500 0.656
Ni 0.499 0.000 0.500
Ni 0.499 0.500 0.344
Ni 0.501 0.000 0.156
Ni 0.501 0.500 0.000
Ni 0.501 0.000 0.844

6.
The following is a GGA-PBE calculation of a relaxed FeOs crystal, from Alexandria via LeMat-Bulk.

- Symmetry: No. 136
- Formation enthalpy at 0 K: 101.9 kJ per mole of atoms
- Crystal system: tetragonal

a b c (Å): 7.570 7.570 2.520
angles (deg): 90.00 90.00 90.00
Each line ends with the local moment (μB).
Sites, in units of the cell vectors:
Fe 0.330 0.670 0.000  0.64
Fe 0.830 0.830 0.500  0.64
Fe 0.170 0.170 0.500  0.64
Fe 0.670 0.330 0.000  0.64
Os 0.365 0.365 0.000  -0.09
Os 0.865 0.135 0.500  -0.09
Os 0.135 0.865 0.500  -0.09
Os 0.635 0.635 0.000  -0.09

no.,VASP energy (Ry/atom),DOS(E_F) (states/eV/atom)
1,-0.3447,1.7970
2,-0.4448,1.2987
3,-0.3953,0.9972
4,-0.4083,0.6887
5,-0.5128,0.9861
6,-0.6461,0.9364